Nd8DySn6: optimized geometry, PBE.

Properties
* calculated formation energy: -0.566 eV/atom
* symmetry: R-3, No. 148
* total moment: 0.00 μB per cell
* electronic total energy: -0.369 Ry/atom

Cell: 9.3365 9.3365 8.5327 Å, 56.83 56.83 60.00°
Closest atoms and distances in Å follow each position.
Element x y z (fractional)
Nd: 0.5591 0.2324 0.3110  5 Sn 3.18-3.39
Nd: 0.7676 0.1025 0.6890  5 Sn 3.18-3.39
Nd: 0.1025 0.4409 0.6890  5 Sn 3.18-3.39
Nd: 0.6662 0.6662 0.0014  6 Sn 3.40-3.42, 6 Nd 3.72
Nd: 0.3338 0.3338 0.9986  6 Sn 3.40-3.42, 6 Nd 3.72
Nd: 0.8975 0.5591 0.3110  5 Sn 3.18-3.39
Nd: 0.2324 0.8975 0.3110  5 Sn 3.18-3.39
Nd: 0.4409 0.7676 0.6890  5 Sn 3.18-3.39
Dy: 0.0000 0.0000 0.0000  6 Sn 3.34
Sn: 0.3948 0.0678 0.7984  7 Nd 3.18-3.42, 1 Dy 3.34
Sn: 0.9322 0.2610 0.2016  7 Nd 3.18-3.42, 1 Dy 3.34
Sn: 0.2610 0.6052 0.2016  7 Nd 3.18-3.42, 1 Dy 3.34
Sn: 0.7390 0.3948 0.7984  7 Nd 3.18-3.42, 1 Dy 3.34
Sn: 0.0678 0.7390 0.7984  7 Nd 3.18-3.42, 1 Dy 3.34
Sn: 0.6052 0.9322 0.2016  7 Nd 3.18-3.42, 1 Dy 3.34

Y2AgBi2: optimized geometry, PBE.

Properties
* calculated formation energy: -0.475 eV/atom
* symmetry: P4/mbm, No. 127
* energy above the lowest structure with this stoichiometry: 0.00 kJ per mole of atoms
* total moment: 0.00 μB per cell
* electronic total energy: -0.381 Ry/atom

Cell: 8.2491 8.2491 4.2156 Å, 90.00 90.00 90.00°
Closest atoms and distances in Å follow each position.
Element x y z (fractional)
Y: 0.1547 0.6547 0.5000  6 Bi 3.07-3.31
Y: 0.6547 0.8453 0.5000  6 Bi 3.07-3.31
Y: 0.8453 0.3453 0.5000  6 Bi 3.07-3.31
Y: 0.3453 0.1547 0.5000  6 Bi 3.07-3.31
Bi: 0.3459 0.8459 0.0000  6 Y 3.07-3.31, 2 Ag 3.12
Bi: 0.8459 0.6541 0.0000  6 Y 3.07-3.31, 2 Ag 3.12
Bi: 0.6541 0.1541 0.0000  6 Y 3.07-3.31, 2 Ag 3.12
Bi: 0.1541 0.3459 0.0000  6 Y 3.07-3.31, 2 Ag 3.12
Ag: 0.0000 0.0000 0.0000  4 Bi 3.12
Ag: 0.5000 0.5000 0.0000  4 Bi 3.12